[1]
# IrPtW2

IrPtW2 at its PBEsol-relaxed geometry (meta-GGA SCAN, Alexandria via LeMat-Bulk).

abc: 2.725 2.725 8.023
angles: 90.00 90.00 90.00
Space group P4/mmm (No. 123)
Inequivalent atoms, fractional coordinates:
Ir 0.000 0.000 0.000
Pt 0.000 0.000 0.500
W 0.500 0.500 0.244

## Properties
- Energy above the most stable polymorph in this dataset: 38 meV per atom

***

[2]
# IrPtW2

IrPtW2 at its PBEsol-relaxed geometry (meta-GGA SCAN, Alexandria via LeMat-Bulk).

abc: 3.852 3.852 8.012
angles: 90.00 90.00 90.00
Space group I4/mmm (No. 139)
Inequivalent atoms, fractional coordinates:
Ir 0.000 0.000 0.000
Pt 0.000 0.000 0.500
W 0.000 0.500 0.250

## Properties
- Energy above the most stable polymorph in this dataset: 35 meV per atom

***

[3]
# Ir2PtW

Ir2PtW at its PBEsol-relaxed geometry (meta-GGA SCAN, Alexandria via LeMat-Bulk).

abc: 3.343 3.343 5.373
angles: 90.00 90.00 90.00
Space group P4mm (No. 99)
Inequivalent atoms, fractional coordinates:
Ir 0.000 0.000 0.000
Ir 0.500 0.500 0.238
Pt 0.000 0.000 0.492
W 0.500 0.500 0.759

## Properties
- Energy above the most stable polymorph in this dataset: 203 meV per atom

***

[4]
# IrPt2W

IrPt2W at its PBEsol-relaxed geometry (meta-GGA SCAN, Alexandria via LeMat-Bulk).

abc: 2.754 2.754 7.857
angles: 90.00 90.00 90.00
Space group P4mm (No. 99)
Inequivalent atoms, fractional coordinates:
Ir 0.000 0.000 0.000
Pt 0.000 0.000 0.522
Pt 0.500 0.500 0.257
W 0.500 0.500 0.767

## Properties
- Energy above the most stable polymorph in this dataset: 23 meV per atom

***

[5]
# IrPtW

IrPtW at its PBEsol-relaxed geometry (meta-GGA SCAN, Alexandria via LeMat-Bulk).

abc: 2.746 3.874 8.318
angles: 90.00 90.00 90.00
Space group Imm2 (No. 44)
Inequivalent atoms, fractional coordinates:
Ir 0.000 0.000 0.000
Pt 0.000 0.000 0.327
W 0.000 0.000 0.657

***

[6]
# IrPt2W

IrPt2W at its PBEsol-relaxed geometry (meta-GGA SCAN, Alexandria via LeMat-Bulk).

abc: 3.899 3.899 7.768
angles: 90.00 90.00 90.00
Space group I-4m2 (No. 119)
Inequivalent atoms, fractional coordinates:
Ir 0.000 0.000 0.000
Pt 0.000 0.000 0.500
Pt 0.000 0.500 0.750
W 0.000 0.500 0.250

## Properties
- Energy above the most stable polymorph in this dataset: 0 meV per atom

***

[7]
# Ir2PtW

Ir2PtW at its PBEsol-relaxed geometry (meta-GGA SCAN, Alexandria via LeMat-Bulk).

abc: 5.489 7.691 2.761
angles: 90.00 90.00 90.00
Space group Cmmm (No. 65)
Inequivalent atoms, fractional coordinates:
Ir 0.250 0.250 0.000
Pt 0.000 0.000 0.500
W 0.000 0.500 0.500

## Properties
- Energy above the most stable polymorph in this dataset: 0 meV per atom

***

[8]
# IrPtW2

IrPtW2 at its PBEsol-relaxed geometry (meta-GGA SCAN, Alexandria via LeMat-Bulk).

abc: 3.286 3.286 5.654
angles: 90.00 90.00 90.00
Space group P4mm (No. 99)
Inequivalent atoms, fractional coordinates:
Ir 0.000 0.000 0.000
Pt 0.500 0.500 0.263
W 0.000 0.000 0.500
W 0.500 0.500 0.777

## Properties
- Energy above the most stable polymorph in this dataset: 307 meV per atom

***

[9]
# IrPt2W

IrPt2W at its PBEsol-relaxed geometry (meta-GGA SCAN, Alexandria via LeMat-Bulk).

abc: 2.727 2.727 7.964
angles: 90.00 90.00 90.00
Space group P4/mmm (No. 123)
Inequivalent atoms, fractional coordinates:
Ir 0.000 0.000 0.000
Pt 0.500 0.500 0.254
W 0.000 0.000 0.500

## Properties
- Energy above the most stable polymorph in this dataset: 192 meV per atom

***

[10]
# Ir2PtW

Ir2PtW at its PBEsol-relaxed geometry (meta-GGA SCAN, Alexandria via LeMat-Bulk).

abc: 5.459 9.236 2.718
angles: 90.00 119.76 90.00
Space group C2/m (No. 12)
Inequivalent atoms, fractional coordinates:
Ir 0.250 0.250 0.000
Pt 0.000 0.000 0.500
W 0.000 0.500 0.500

## Properties
- Energy above the most stable polymorph in this dataset: 202 meV per atom

***

[11]
# IrPtW2

IrPtW2 at its PBEsol-relaxed geometry (meta-GGA SCAN, Alexandria via LeMat-Bulk).

abc: 5.442 8.013 2.727
angles: 90.00 90.00 90.00
Space group Cmmm (No. 65)
Inequivalent atoms, fractional coordinates:
Ir 0.000 0.000 0.000
Pt 0.000 0.500 0.000
W 0.250 0.250 0.500

## Properties
- Energy above the most stable polymorph in this dataset: 43 meV per atom

***

[12]
# IrPtW2

IrPtW2 at its PBEsol-relaxed geometry (meta-GGA SCAN, Alexandria via LeMat-Bulk).

abc: 6.241 6.241 6.241
angles: 90.00 90.00 90.00
Space group F-43m (No. 216)
Inequivalent atoms, fractional coordinates:
Ir 0.000 0.000 0.000
Pt 0.250 0.250 0.750
W 0.000 0.000 0.500
W 0.250 0.250 0.250

## Properties
- Energy above the most stable polymorph in this dataset: 451 meV per atom

***

Looking at formation enthalpy at 0 K for the records above, in order, we have -0.321; -0.324; 0.059; -0.240; -0.332; -0.263; -0.144; -0.052; -0.071; 0.058; -0.316; 0.092 eV/atom.
Looking at VASP energy for the records above, in order, we have -70.488; -70.491; -70.461; -70.533; -70.659; -70.556; -70.663; -70.219; -70.364; -70.462; -70.483; -70.075 eV per atom.